(1)
Below is an optimized crystal structure of InHRh2, with properties calculated at the PBE level.

Summary:
Its distance to the lowest polymorph of the same formula is 341.8 meV per atom. The calculation puts the volume at 53.2 Å³ per cell. Its raw total energy is -4.950 eV/atom.

a b c (Å): 2.9204 2.9204 6.2417
angles (deg): 90.00 90.00 90.00
Sites, in units of the cell vectors:
Rh  0.0000  0.0000  0.7964
In  0.5000  0.5000  0.5000
Rh  0.0000  0.0000  0.2036
H  0.5000  0.5000  0.0000



(2)
Below is an optimized crystal structure of In2HRh4, with properties calculated at the PBE level.

Summary:
The calculation puts the volume at 104.6 Å³ per cell. Its raw total energy is -5.605 eV/atom.

a b c (Å): 3.9253 3.9253 7.3324
angles (deg): 105.53 105.53 90.00
Site moments in Bohr magnetons follow the coordinates.
Sites, in units of the cell vectors:
H  0.0000  0.0000  0.0000  0.00
In  0.6494  0.6494  0.2988  -0.01
Rh  0.1542  0.1542  0.3083  0.20
Rh  0.5000  0.0000  0.0000  0.22
In  0.3506  0.3506  0.7012  -0.01
Rh  0.0000  0.5000  0.0000  0.22
Rh  0.8458  0.8458  0.6917  0.20



(3)
Below is an optimized crystal structure of InH3Rh, with properties calculated at the PBE level.

Summary:
The calculation puts the volume at 55.1 Å³ per cell. Its raw total energy is -3.099 eV/atom.

a b c (Å): 3.8047 3.8047 3.8047
angles (deg): 90.00 90.00 90.00
Site moments in Bohr magnetons follow the coordinates.
Sites, in units of the cell vectors:
H  0.0000  0.0000  0.5000  0.06
H  0.0000  0.5000  0.0000  0.04
Rh  0.5000  0.5000  0.5000  0.97
H  0.5000  0.0000  0.0000  0.02
In  0.0000  0.0000  0.0000  0.02



(4)
Below is an optimized crystal structure of InHRh, with properties calculated at the PBE level.

Summary:
Its distance to the lowest polymorph of the same formula is 23.7 meV per atom. The calculation puts the volume at 38.5 Å³ per cell. Its raw total energy is -4.702 eV/atom.

a b c (Å): 3.2403 3.2403 4.2296
angles (deg): 90.00 90.00 120.00
Sites, in units of the cell vectors:
Rh  0.6667  0.3333  0.4997
H  0.3333  0.6667  0.5005
In  0.0000  0.0000  0.9998



(5)
Below is an optimized crystal structure of InHRh, with properties calculated at the PBE level.

Summary:
Its distance to the lowest polymorph of the same formula is 0.0 meV per atom. The calculation puts the volume at 150.9 Å³ per cell. Its raw total energy is -4.726 eV/atom.

a b c (Å): 5.2460 5.2656 6.0976
angles (deg): 63.62 90.00 90.00
Sites, in units of the cell vectors:
Rh  0.3516  0.1850  0.5929
In  0.6500  0.3211  0.8937
Rh  0.8516  0.8150  0.9071
Rh  0.6484  0.8150  0.4071
H  0.9029  0.8836  0.1783
H  0.5971  0.8836  0.6783
In  0.1500  0.6789  0.6063
H  0.0971  0.1164  0.8217
Rh  0.1484  0.1850  0.0929
H  0.4029  0.1164  0.3217
In  0.3500  0.6789  0.1063
In  0.8500  0.3211  0.3937



(6)
Below is an optimized crystal structure of InHRh2, with properties calculated at the PBE level.

Summary:
Its distance to the lowest polymorph of the same formula is 494.6 meV per atom. The calculation puts the volume at 56.6 Å³ per cell. Its raw total energy is -4.798 eV/atom.

a b c (Å): 4.3105 4.3105 4.3105
angles (deg): 60.00 60.00 60.00
Sites, in units of the cell vectors:
Rh  0.2500  0.2500  0.2500
In  0.5000  0.5000  0.5000
Rh  0.7500  0.7500  0.7500
H  0.0000  0.0000  0.0000



(7)
Below is an optimized crystal structure of In4H6Rh7, with properties calculated at the PBE level.

Summary:
The calculation puts the volume at 227.7 Å³ per cell. Its raw total energy is -4.694 eV/atom.

a b c (Å): 6.8212 6.8212 6.8212
angles (deg): 105.22 126.26 98.40
Sites, in units of the cell vectors:
In  0.5000  0.5000  0.5000
H  0.0000  0.6065  0.6065
Rh  0.2493  0.7493  0.5000
Rh  0.2481  0.5000  0.7481
In  0.5000  0.0000  0.0000
H  0.0000  0.3935  0.3935
Rh  0.0000  0.0000  0.0000
Rh  0.5000  0.8216  0.3216
In  0.0000  0.5000  0.0000
In  0.0000  0.0000  0.5000
H  0.6797  0.0000  0.6797
Rh  0.7519  0.5000  0.2519
H  0.1882  0.1882  0.0000
H  0.3203  0.0000  0.3203
Rh  0.7507  0.2507  0.5000
Rh  0.5000  0.1784  0.6784
H  0.8118  0.8118  0.0000



(8)
Below is an optimized crystal structure of InHRh, with properties calculated at the PBE level.

Summary:
Its distance to the lowest polymorph of the same formula is 243.6 meV per atom. The calculation puts the volume at 44.1 Å³ per cell. Its raw total energy is -4.483 eV/atom.

a b c (Å): 3.4055 3.8648 3.8673
angles (deg): 60.04 89.99 89.99
Sites, in units of the cell vectors:
H  0.3831  0.3612  0.1402
Rh  0.8831  0.3612  0.1402
In  0.3826  0.6945  0.4739



(9)
Below is an optimized crystal structure of InHRh2, with properties calculated at the PBE level.

Summary:
Its distance to the lowest polymorph of the same formula is 65.4 meV per atom. The calculation puts the volume at 106.4 Å³ per cell. Its raw total energy is -5.227 eV/atom.

a b c (Å): 3.1021 5.7653 6.1755
angles (deg): 90.00 90.00 105.61
Sites, in units of the cell vectors:
H  0.7230  0.4460  0.7500
In  0.9941  0.9882  0.2500
In  0.0059  0.0118  0.7500
Rh  0.6496  0.2992  0.4932
H  0.2770  0.5540  0.2500
Rh  0.6496  0.2992  0.0068
Rh  0.3504  0.7008  0.5068
Rh  0.3504  0.7008  0.9932



(10)
Below is an optimized crystal structure of InHRuRh2, with properties calculated at the PBE level.

Summary:
The calculation puts the volume at 64.3 Å³ per cell. Its raw total energy is -6.060 eV/atom.

a b c (Å): 3.9992 3.9992 4.0180
angles (deg): 90.00 90.00 90.00
Sites, in units of the cell vectors:
In  0.5000  0.5000  0.5000
Ru  0.0000  0.0000  0.5000
Rh  0.0000  0.5000  0.0000
H  0.0000  0.0000  0.0000
Rh  0.5000  0.0000  0.0000



(11)
Below is an optimized crystal structure of InH2RuRh, with properties calculated at the PBE level.

Summary:
The calculation puts the volume at 68.6 Å³ per cell. Its raw total energy is -4.590 eV/atom.

a b c (Å): 3.6195 5.2355 3.6195
angles (deg): 90.00 90.00 90.00
Site moments in Bohr magnetons follow the coordinates.
Sites, in units of the cell vectors:
H  0.5000  0.0000  0.0000  -0.01
Rh  0.5000  0.5000  0.5000  0.11
In  0.0000  0.5000  0.0000  -0.02
Ru  0.0000  0.0000  0.0000  0.66
H  0.0000  0.0000  0.5000  -0.01



(12)
Below is an optimized crystal structure of InHRu2Rh, with properties calculated at the PBE level.

Summary:
The calculation puts the volume at 64.2 Å³ per cell. Its raw total energy is -6.307 eV/atom.

a b c (Å): 3.9391 3.9391 4.1396
angles (deg): 90.00 90.00 90.00
Sites, in units of the cell vectors:
Ru  0.0000  0.5000  0.0000
Rh  0.0000  0.0000  0.5000
H  0.0000  0.0000  0.0000
In  0.5000  0.5000  0.5000
Ru  0.5000  0.0000  0.0000



Question: What is the raw total energy in the first record?
Answer: -4.950 eV/atom